Record 1
Compound: Be2V2Hg
Source: Alexandria via LeMat-Bulk
Functional: PBE-GGA
Structure: optimized geometry

## Properties
**Energy above the lowest structure with this stoichiometry**: 0 meV/atom
**Total moment**: 0.0 μB per formula unit
**Formation enthalpy at 0 K**: 0.6 eV per formula unit
**E**: -50.7 eV per cell
**D(E_F)**: 6.8 states/eV per cell
**SG**: P4/mbm, No. 127

abc: 6.0190 6.0190 3.4972
angles: 90.00 90.00 90.00
With the nearest neighbours (Å) after each atom.
Fractional positions:
Be 0.1229 0.3771 0.0000  1 Be 2.09
Be 0.3771 0.8771 0.0000  1 Be 2.09
Be 0.6229 0.1229 0.0000  1 Be 2.09
Be 0.8771 0.6229 0.0000  1 Be 2.09
V 0.1557 0.6557 0.5000  6 Be 2.43-2.57, 1 V 2.65
V 0.3443 0.1557 0.5000  6 Be 2.43-2.57, 1 V 2.65
V 0.6557 0.8443 0.5000  6 Be 2.43-2.57, 1 V 2.65
V 0.8443 0.3443 0.5000  6 Be 2.43-2.57, 1 V 2.65
Hg 0.0000 0.0000 0.0000  4 Be 2.39
Hg 0.5000 0.5000 0.0000  4 Be 2.39

---

Record 2
Compound: LaTiPO2
Source: Alexandria via LeMat-Bulk
Functional: PBE-GGA
Structure: optimized geometry

## Properties
**Energy above the lowest structure with this stoichiometry**: 1370 meV/atom
**Raw formation energy**: -0.852 eV/atom
**Total moment**: 0.6 μB per formula unit
**E**: -32.4 eV per cell
**D(E_F)**: 4.6 states/eV per cell
**SG**: P4/mmm, No. 123

abc: 4.1737 4.1737 6.3964
angles: 90.00 90.00 90.00
With the nearest neighbours (Å) after each atom.
Fractional positions:
La 0.0000 0.0000 0.0000  4 O 2.09
Ti 0.5000 0.5000 0.5000  4 P 2.95
P 0.0000 0.0000 0.5000  4 Ti 2.95, 2 La 3.20
O 0.0000 0.5000 0.0000  2 La 2.09
O 0.5000 0.0000 0.0000  2 La 2.09

---

Record 3
Compound: AcPrY
Source: Alexandria via LeMat-Bulk
Functional: PBE-GGA
Structure: optimized geometry

## Properties
**Energy above the lowest structure with this stoichiometry**: 5 meV/atom
**Total moment**: 0.0 μB per formula unit
**Formation enthalpy at 0 K**: 0.1 eV per formula unit
**E**: -30.5 eV per cell
**D(E_F)**: 10.2 states/eV per cell
**SG**: P2_1/m, No. 11

abc: 5.3582 5.3620 8.2943
angles: 90.00 108.79 90.00
With the nearest neighbours (Å) after each atom.
Fractional positions:
Ac 0.2494 0.2500 0.4988  4 Pr 3.78-3.80, 4 Ac 3.79, 4 Y 3.79-3.81
Ac 0.7506 0.7500 0.5012  4 Pr 3.78-3.80, 4 Ac 3.79, 4 Y 3.79-3.81
Pr 0.0795 0.7500 0.1588  6 Y 3.65-3.79, 2 Pr 3.66, 4 Ac 3.78-3.80
Pr 0.9205 0.2500 0.8412  6 Y 3.65-3.79, 2 Pr 3.66, 4 Ac 3.78-3.80
Y 0.4217 0.7500 0.8434  2 Y 3.64, 6 Pr 3.65-3.79, 4 Ac 3.79-3.81
Y 0.5783 0.2500 0.1566  2 Y 3.64, 6 Pr 3.65-3.79, 4 Ac 3.79-3.81

---

Record 4
Compound: KCaTi2Cu
Source: Alexandria via LeMat-Bulk
Functional: PBE-GGA
Structure: optimized geometry

## Properties
**Total moment**: 2.1 μB per formula unit
**Formation enthalpy at 0 K**: 9.5 eV per formula unit
**E**: -13.5 eV per cell
**D(E_F)**: 2.7 states/eV per cell
**SG**: P4/mmm, No. 123

abc: 4.6141 4.6141 5.2502
angles: 90.00 90.00 90.00
With the nearest neighbours (Å) after each atom.
Fractional positions:
K 0.0000 0.0000 0.0000  4 Ti 2.31
Ca 0.0000 0.0000 0.5000  2 K 2.63
Ti 0.0000 0.5000 0.0000  2 K 2.31
Ti 0.5000 0.0000 0.0000  2 K 2.31
Cu 0.5000 0.5000 0.5000  4 Ca 3.26, 8 Ti 3.49

---

Record 5
Compound: Na2MgAg2F6
Source: Alexandria via LeMat-Bulk
Functional: PBE-GGA
Structure: optimized geometry

## Properties
**Raw formation energy**: -2.292 eV/atom
**Total moment**: 0.0 μB per formula unit
**E**: -46.4 eV per cell
**D(E_F)**: 0.0 states/eV per cell
**SG**: C2/m, No. 12

abc: 5.6264 5.6264 6.0889
angles: 100.90 100.90 117.95
With the nearest neighbours (Å) after each atom.
Fractional positions:
Na 0.1597 0.8403 0.0000  6 F 2.28-2.34
Na 0.8403 0.1597 0.0000  6 F 2.28-2.34
Mg 0.5000 0.5000 0.0000  6 F 2.01-2.04
Ag 0.3119 0.6881 0.5000  6 F 2.48-2.63
Ag 0.6881 0.3119 0.5000  6 F 2.48-2.63
F 0.1242 0.4312 0.8022  1 Mg 2.04, 1 Na 2.28
F 0.2965 0.2965 0.2062  1 Mg 2.01
F 0.4312 0.1242 0.8022  1 Mg 2.04, 1 Na 2.28
F 0.5688 0.8758 0.1978  1 Mg 2.04, 1 Na 2.28
F 0.7035 0.7035 0.7938  1 Mg 2.01
F 0.8758 0.5688 0.1978  1 Mg 2.04, 1 Na 2.28

---

Record 6
Compound: Ta4MoRu3
Source: Alexandria via LeMat-Bulk
Functional: PBE-GGA
Structure: optimized geometry

## Properties
**Total moment**: 0.0 μB per formula unit
**Formation enthalpy at 0 K**: -2.8 eV per formula unit
**E**: -88.9 eV per cell
**D(E_F)**: 5.6 states/eV per cell
**SG**: I4/mmm, No. 139

abc: 7.1034 7.1034 7.1034
angles: 142.93 142.93 53.43
With the nearest neighbours (Å) after each atom.
Fractional positions:
Ta 0.1241 0.6241 0.5000  6 Ru 2.74-2.79, 2 Mo 2.75
Ta 0.3759 0.8759 0.5000  6 Ru 2.74-2.79, 2 Mo 2.75
Ta 0.6241 0.1241 0.5000  6 Ru 2.74-2.79, 2 Mo 2.75
Ta 0.8759 0.3759 0.5000  6 Ru 2.74-2.79, 2 Mo 2.75
Mo 0.0000 0.0000 0.0000  8 Ta 2.75
Ru 0.2530 0.2530 0.0000  8 Ta 2.74-2.79
Ru 0.5000 0.5000 0.0000  8 Ta 2.75
Ru 0.7470 0.7470 0.0000  8 Ta 2.74-2.79

---

Record 7
Compound: Mn2OsPtRh
Source: Alexandria via LeMat-Bulk
Functional: PBE-GGA
Structure: optimized geometry

## Properties
**Total moment**: 6.0 μB per formula unit
**Formation enthalpy at 0 K**: 8.5 eV per formula unit
**E**: -34.4 eV per cell
**D(E_F)**: 7.4 states/eV per cell
**SG**: P4/mmm, No. 123

abc: 4.6554 4.6554 4.7757
angles: 90.00 90.00 90.00
With the nearest neighbours (Å) after each atom.
Fractional positions:
Mn 0.0000 0.5000 0.0000  2 Pt 2.33
Mn 0.5000 0.0000 0.0000  2 Pt 2.33
Os 0.0000 0.0000 0.5000  4 Rh 3.29, 8 Mn 3.33
Pt 0.5000 0.5000 0.0000  4 Mn 2.33, 2 Rh 2.39
Rh 0.5000 0.5000 0.5000  2 Pt 2.39

---

Record 8
Compound: Ho3TmPt12
Source: Alexandria via LeMat-Bulk
Functional: PBE-GGA
Structure: optimized geometry

## Properties
**Total moment**: 0.0 μB per formula unit
**Formation enthalpy at 0 K**: -17.0 eV per formula unit
**E**: -107.7 eV per cell
**D(E_F)**: 15.2 states/eV per cell
**SG**: P4/mmm, No. 123

abc: 4.1114 4.1114 16.3771
angles: 90.00 90.00 90.00
With the nearest neighbours (Å) after each atom.
Fractional positions:
Ho 0.0000 0.0000 0.0000  12 Pt 2.90-2.91
Ho 0.0000 0.0000 0.2505  12 Pt 2.90-2.91
Ho 0.0000 0.0000 0.7495  12 Pt 2.90-2.91
Tm 0.0000 0.0000 0.5000  12 Pt 2.89-2.91
Pt 0.0000 0.5000 0.1253  4 Ho 2.90, 8 Pt 2.90-2.91
Pt 0.0000 0.5000 0.3760  2 Tm 2.89, 8 Pt 2.89-2.91, 2 Ho 2.91
Pt 0.0000 0.5000 0.6240  2 Tm 2.89, 8 Pt 2.89-2.91, 2 Ho 2.91
Pt 0.0000 0.5000 0.8747  4 Ho 2.90, 8 Pt 2.90-2.91
Pt 0.5000 0.0000 0.1253  4 Ho 2.90, 8 Pt 2.90-2.91
Pt 0.5000 0.0000 0.3760  2 Tm 2.89, 8 Pt 2.89-2.91, 2 Ho 2.91
Pt 0.5000 0.0000 0.6240  2 Tm 2.89, 8 Pt 2.89-2.91, 2 Ho 2.91
Pt 0.5000 0.0000 0.8747  4 Ho 2.90, 8 Pt 2.90-2.91
Pt 0.5000 0.5000 0.0000  8 Pt 2.90, 4 Ho 2.91
Pt 0.5000 0.5000 0.2506  8 Pt 2.90-2.91, 4 Ho 2.91
Pt 0.5000 0.5000 0.5000  8 Pt 2.89, 4 Tm 2.91
Pt 0.5000 0.5000 0.7494  8 Pt 2.90-2.91, 4 Ho 2.91

---

Record 9
Compound: K2IrW
Source: Alexandria via LeMat-Bulk
Functional: PBE-GGA
Structure: optimized geometry

## Properties
**Energy above the lowest structure with this stoichiometry**: 561 meV/atom
**Total moment**: 0.0 μB per formula unit
**Formation enthalpy at 0 K**: 4.7 eV per formula unit
**E**: -19.3 eV per cell
**D(E_F)**: 5.2 states/eV per cell
**SG**: P2/m, No. 10

abc: 2.8707 5.9720 4.8406
angles: 90.00 91.75 90.00
With the nearest neighbours (Å) after each atom.
Fractional positions:
K 0.2427 0.0000 0.2547  6 K 2.76-2.91
K 0.7573 0.0000 0.7452  6 K 2.76-2.91
Ir 0.0000 0.5000 0.5000  4 W 2.78-2.85, 2 Ir 2.87
W 0.5000 0.5000 0.0000  4 Ir 2.78-2.85, 2 W 2.87

---

Record 10
Compound: AcPrEr2
Source: Alexandria via LeMat-Bulk
Functional: PBE-GGA
Structure: optimized geometry

## Properties
**Energy above the lowest structure with this stoichiometry**: 5 meV/atom
**Total moment**: 0.0 μB per formula unit
**Formation enthalpy at 0 K**: 0.2 eV per formula unit
**E**: -17.8 eV per cell
**D(E_F)**: 6.2 states/eV per cell
**SG**: P4/mmm, No. 123

abc: 3.7738 3.7738 9.8754
angles: 90.00 90.00 90.00
With the nearest neighbours (Å) after each atom.
Fractional positions:
Ac 0.0000 0.0000 0.0000  8 Er 3.70, 4 Ac 3.77
Pr 0.0000 0.0000 0.5000  8 Er 3.57, 4 Pr 3.77
Er 0.5000 0.5000 0.2593  4 Pr 3.57, 4 Ac 3.70, 4 Er 3.77
Er 0.5000 0.5000 0.7407  4 Pr 3.57, 4 Ac 3.70, 4 Er 3.77

---

Record 11
Compound: Tl2SbAs2
Source: Alexandria via LeMat-Bulk
Functional: PBE-GGA
Structure: optimized geometry

## Properties
**Energy above the lowest structure with this stoichiometry**: 0 meV/atom
**Raw formation energy**: 0.083 eV/atom
**Total moment**: 0.0 μB per formula unit
**E**: -35.5 eV per cell
**D(E_F)**: 8.8 states/eV per cell
**SG**: P4/mbm, No. 127

abc: 7.3245 7.3245 5.3940
angles: 90.00 90.00 90.00
With the nearest neighbours (Å) after each atom.
Fractional positions:
Tl 0.1868 0.3132 0.0000  6 As 3.37-3.54
Tl 0.3132 0.8132 0.0000  6 As 3.37-3.54
Tl 0.6868 0.1868 0.0000  6 As 3.37-3.54
Tl 0.8132 0.6868 0.0000  6 As 3.37-3.54
Sb 0.0000 0.0000 0.5000  4 As 2.93
Sb 0.5000 0.5000 0.5000  4 As 2.93
As 0.1186 0.6186 0.5000  1 As 2.46
As 0.3814 0.1186 0.5000  1 As 2.46
As 0.6186 0.8814 0.5000  1 As 2.46
As 0.8814 0.3814 0.5000  1 As 2.46

---

Record 12
Compound: Ba2ReW
Source: Alexandria via LeMat-Bulk
Functional: PBE-GGA
Structure: optimized geometry

## Properties
**Energy above the lowest structure with this stoichiometry**: 1118 meV/atom
**Total moment**: 0.0 μB per formula unit
**Formation enthalpy at 0 K**: 6.8 eV per formula unit
**E**: -22.5 eV per cell
**D(E_F)**: 4.2 states/eV per cell
**SG**: P4/mmm, No. 123

abc: 2.9813 2.9813 11.3066
angles: 90.00 90.00 90.00
With the nearest neighbours (Å) after each atom.
Fractional positions:
Ba 0.0000 0.0000 0.2448  4 Ba 2.98
Ba 0.0000 0.0000 0.7552  4 Ba 2.98
Re 0.5000 0.5000 0.0000  4 Re 2.98
W 0.5000 0.5000 0.5000  4 W 2.98